Compound: Al2ReTcSb
Source: Alexandria
Functional: SCAN
Structure: single point on PBEsol structure

Structure (POSCAR):
```
Al2ReTcSb
1.0
-2.376 2.851 -2.884
2.502 -1.600 -3.642
-3.168 -3.353 -0.704
Al Re Sb Tc
2 1 1 1
Direct
0.000 0.500 0.000
0.500 0.000 0.000
0.000 0.000 0.500
0.500 0.500 0.500
0.000 0.000 0.000
```

Summary:
Size of the total moment: 0.9 Bohr magnetons per cell
ΔE_f (raw): 82.3 kJ per mole of atoms
Electronic total energy: -154.655 eV per formula unit